Computed, not measured: a geometry-optimized Li8PbAu2 structure at the GGA-PBE level of DFT. Values from VASP.

As for the polymorph energy (0 for the lowest one): 0.026 eV/atom. The energy of formation from the pure elements comes out at -7.84 kcal/mol of atoms. Its space group is No. 12. The volume is 18.36 A^3/atom.

```
&SYSTEM
  ibrav = 0, nat = 11, ntyp = 3
/
ATOMIC_SPECIES
Li 6.94 Li.upf
Pb 207.20 Pb.upf
Au 196.97 Au.upf
ATOMIC_POSITIONS crystal
Li 0.160 0.160 0.983
Li 0.193 0.466 0.483
Li 0.245 0.755 0.000
Li 0.466 0.193 0.483
Li 0.534 0.807 0.517
Li 0.755 0.245 0.000
Li 0.807 0.534 0.517
Li 0.840 0.840 0.017
Pb 0.500 0.500 0.000
Au 0.127 0.873 0.500
Au 0.873 0.127 0.500
CELL_PARAMETERS angstrom
4.136 -5.506 0.000
4.136 5.506 0.000
-0.245 0.000 4.435
```

***

Computed, not measured: a geometry-optimized Y2TcPtC structure at the GGA-PBE level of DFT. Values from VASP.

The energy of formation from the pure elements comes out at -11.80 kcal/mol of atoms. Its space group is No. 123. The volume is 18.90 A^3/atom.

```
&SYSTEM
  ibrav = 0, nat = 5, ntyp = 4
/
ATOMIC_SPECIES
Y 88.91 Y.upf
Tc 98.00 Tc.upf
Pt 195.08 Pt.upf
C 12.01 C.upf
ATOMIC_POSITIONS crystal
Y 0.000 0.500 0.000
Y 0.500 0.000 0.000
Tc 0.000 0.000 0.500
Pt 0.500 0.500 0.500
C 0.000 0.000 0.000
CELL_PARAMETERS angstrom
4.904 0.000 0.000
0.000 4.904 0.000
0.000 0.000 3.929
```

***

Computed, not measured: a geometry-optimized CaHg2Sb structure at the GGA-PBE level of DFT. Values from VASP.

Its space group is No. 122. The calculation puts the energy relative to the elements, uncorrected at -0.29 eV per atom. The volume is 28.77 A^3/atom.

```
&SYSTEM
  ibrav = 0, nat = 8, ntyp = 3
/
ATOMIC_SPECIES
Ca 40.08 Ca.upf
Hg 200.59 Hg.upf
Sb 121.76 Sb.upf
ATOMIC_POSITIONS crystal
Ca 0.000 0.000 0.000
Ca 0.750 0.250 0.500
Hg 0.144 0.625 0.019
Hg 0.375 0.394 0.519
Hg 0.606 0.125 0.981
Hg 0.875 0.856 0.481
Sb 0.250 0.750 0.500
Sb 0.500 0.500 0.000
CELL_PARAMETERS angstrom
-4.268 4.268 3.158
4.268 -4.268 3.158
4.268 4.268 -3.158
```

***

Computed, not measured: a geometry-optimized NbBi2PdO structure at the GGA-PBE level of DFT. Values from VASP.

Its space group is No. 123. The calculation puts the energy relative to the elements, uncorrected at -0.25 eV per atom. The volume is 24.52 A^3/atom.

```
&SYSTEM
  ibrav = 0, nat = 5, ntyp = 4
/
ATOMIC_SPECIES
Nb 92.91 Nb.upf
Bi 208.98 Bi.upf
Pd 106.42 Pd.upf
O 16.00 O.upf
ATOMIC_POSITIONS crystal
Nb 0.000 0.000 0.000
Bi 0.000 0.500 0.000
Bi 0.500 0.000 0.000
Pd 0.500 0.500 0.500
O 0.000 0.000 0.500
CELL_PARAMETERS angstrom
5.665 0.000 0.000
0.000 5.665 0.000
0.000 0.000 3.821
```

***

Computed, not measured: a geometry-optimized Rb2TlHBr6 structure at the GGA-PBE level of DFT. Values from VASP.

As for the total energy: -2.4919 eV/atom. Its space group is No. 139. The volume is 32.11 A^3/atom.

```
&SYSTEM
  ibrav = 0, nat = 10, ntyp = 4
/
ATOMIC_SPECIES
Rb 85.47 Rb.upf
Tl 204.38 Tl.upf
H 1.01 H.upf
Br 79.90 Br.upf
ATOMIC_POSITIONS crystal
Rb 0.250 0.750 0.500
Rb 0.750 0.250 0.500
Tl 0.000 0.000 0.000
H 0.500 0.500 0.000
Br 0.231 0.231 0.000
Br 0.273 0.273 0.547
Br 0.273 0.727 0.000
Br 0.727 0.273 0.000
Br 0.727 0.727 0.453
Br 0.769 0.769 0.000
CELL_PARAMETERS angstrom
-3.669 3.669 5.964
3.669 -3.669 5.964
3.669 3.669 -5.964
```

***

Computed, not measured: a geometry-optimized SrPCl2 structure at the GGA-PBE level of DFT. Values from VASP.

As for the polymorph energy (0 for the lowest one): 0.124 eV/atom. Its space group is No. 166. The calculation puts the energy relative to the elements, uncorrected at -0.95 eV per atom. The volume is 41.10 A^3/atom.

```
&SYSTEM
  ibrav = 0, nat = 4, ntyp = 3
/
ATOMIC_SPECIES
Sr 87.62 Sr.upf
P 30.97 P.upf
Cl 35.45 Cl.upf
ATOMIC_POSITIONS crystal
Sr 0.000 0.000 0.000
P 0.500 0.500 0.500
Cl 0.284 0.284 0.284
Cl 0.716 0.716 0.716
CELL_PARAMETERS angstrom
2.248 1.298 9.388
-2.248 1.298 9.388
0.000 -2.596 9.388
```

***

Computed, not measured: a geometry-optimized YTlIn2Ni structure at the GGA-PBE level of DFT. Values from VASP.

The energy of formation from the pure elements comes out at -4.77 kcal/mol of atoms. Its space group is No. 123. The volume is 25.53 A^3/atom.

```
&SYSTEM
  ibrav = 0, nat = 5, ntyp = 4
/
ATOMIC_SPECIES
Y 88.91 Y.upf
Tl 204.38 Tl.upf
In 114.82 In.upf
Ni 58.69 Ni.upf
ATOMIC_POSITIONS crystal
Y 0.000 0.000 0.000
Tl 0.500 0.500 0.000
In 0.000 0.500 0.500
In 0.500 0.000 0.500
Ni 0.000 0.000 0.500
CELL_PARAMETERS angstrom
4.957 0.000 0.000
0.000 4.957 0.000
0.000 0.000 5.196
```

***

Computed, not measured: a geometry-optimized RbCuSbCl6 structure at the GGA-PBE level of DFT. Values from VASP.

Its space group is No. 1. The calculation puts the energy relative to the elements, uncorrected at -0.99 eV per atom. The volume is 32.55 A^3/atom.

```
&SYSTEM
  ibrav = 0, nat = 9, ntyp = 4
/
ATOMIC_SPECIES
Rb 85.47 Rb.upf
Cu 63.55 Cu.upf
Sb 121.76 Sb.upf
Cl 35.45 Cl.upf
ATOMIC_POSITIONS crystal
Rb 0.000 0.000 0.000
Cu 0.712 0.333 0.507
Sb 0.375 0.673 0.522
Cl 0.042 0.676 0.319
Cl 0.052 0.371 0.680
Cl 0.422 0.932 0.792
Cl 0.436 0.350 0.298
Cl 0.664 0.541 0.742
Cl 0.672 0.023 0.352
CELL_PARAMETERS angstrom
6.566 0.000 0.000
-3.000 6.343 0.000
-0.622 -0.602 7.035
```